[1]
# Pr4Sm2Bi3N2, optimized geometry, DFT GGA-PBE
# Crystal system   tetragonal
# E_form (uncorrected)   -987 meV per atom
# Density of states at the Fermi level   4.3 states/eV/cell
# VASP energy   -67.707 eV per formula unit
data_Pr4Sm2Bi3N2
_symmetry_space_group_name_H-M 'P 1'
_symmetry_Int_Tables_number 1
_symmetry_space_group_name_Hall 'P 1'
_cell_length_a 4.883
_cell_length_b 4.883
_cell_length_c 13.761
_cell_angle_alpha 100.22
_cell_angle_beta 100.22
_cell_angle_gamma 90.00
loop_
_atom_site_label
_atom_site_type_symbol
_atom_site_fract_x
_atom_site_fract_y
_atom_site_fract_z
N1 N 0.607 0.607 0.214
Pr1 Pr 0.584 0.084 0.169
Bi1 Bi 0.000 0.000 0.000
Bi2 Bi 0.819 0.819 0.637
Bi3 Bi 0.181 0.181 0.363
N2 N 0.393 0.393 0.786
Sm1 Sm 0.308 0.308 0.617
Pr2 Pr 0.416 0.916 0.831
Sm2 Sm 0.692 0.692 0.383
Pr3 Pr 0.916 0.416 0.831
Pr4 Pr 0.084 0.584 0.169


[2]
# La2TaW, optimized geometry, DFT GGA-PBE
# Crystal system   tetragonal
# Density of states at the Fermi level   5.3 states/eV/cell
# Energy relative to the elements   933 meV per atom
# VASP energy   -30.929 eV per formula unit
data_La2TaW
_symmetry_space_group_name_H-M 'P 1'
_symmetry_Int_Tables_number 1
_symmetry_space_group_name_Hall 'P 1'
_cell_length_a 5.645
_cell_length_b 5.645
_cell_length_c 3.081
_cell_angle_alpha 90.00
_cell_angle_beta 90.00
_cell_angle_gamma 90.00
loop_
_atom_site_label
_atom_site_type_symbol
_atom_site_fract_x
_atom_site_fract_y
_atom_site_fract_z
W1 W 0.000 0.500 0.500
La1 La 0.500 0.500 0.000
Ta1 Ta 0.500 0.000 0.500
La2 La 0.000 0.000 0.000


[3]
# Sc2AlTcB, optimized geometry, DFT GGA-PBE
# Crystal system   tetragonal
# Density of states at the Fermi level   3.3 states/eV/cell
# Energy relative to the elements   -320 meV per atom
# VASP energy   -35.047 eV per formula unit
data_Sc2AlTcB
_symmetry_space_group_name_H-M 'P 1'
_symmetry_Int_Tables_number 1
_symmetry_space_group_name_Hall 'P 1'
_cell_length_a 4.627
_cell_length_b 4.627
_cell_length_c 4.033
_cell_angle_alpha 90.00
_cell_angle_beta 90.00
_cell_angle_gamma 90.00
loop_
_atom_site_label
_atom_site_type_symbol
_atom_site_fract_x
_atom_site_fract_y
_atom_site_fract_z
Tc1 Tc 0.000 0.000 0.500
Sc1 Sc 0.000 0.500 0.000
B1 B 0.000 0.000 0.000
Sc2 Sc 0.500 0.000 0.000
Al1 Al 0.500 0.500 0.500


[4]
# RbLiSn2Br6, optimized geometry, DFT GGA-PBE
# Crystal system   trigonal
# E_form (uncorrected)   -1098 meV per atom
# Density of states at the Fermi level   0.0 states/eV/cell
# VASP energy   -31.904 eV per formula unit
data_RbLiSn2Br6
_symmetry_space_group_name_H-M 'P 1'
_symmetry_Int_Tables_number 1
_symmetry_space_group_name_Hall 'P 1'
_cell_length_a 7.628
_cell_length_b 7.628
_cell_length_c 8.412
_cell_angle_alpha 63.05
_cell_angle_beta 63.06
_cell_angle_gamma 60.01
loop_
_atom_site_label
_atom_site_type_symbol
_atom_site_fract_x
_atom_site_fract_y
_atom_site_fract_z
Rb1 Rb 0.804 0.804 0.588
Br1 Br 0.269 0.916 0.236
Br2 Br 0.163 0.338 0.771
Sn1 Sn 0.523 0.523 0.431
Li1 Li 0.337 0.337 0.990
Br3 Br 0.915 0.579 0.236
Br4 Br 0.579 0.269 0.236
Sn2 Sn 0.005 0.005 0.985
Br5 Br 0.728 0.164 0.771
Br6 Br 0.338 0.728 0.771


[5]
# CaGeH, optimized geometry, DFT GGA-PBE
# Crystal system   trigonal
# Density of states at the Fermi level   0.3 states/eV/cell
# VASP energy   -11.467 eV per formula unit
data_CaGeH
_symmetry_space_group_name_H-M 'P 1'
_symmetry_Int_Tables_number 1
_symmetry_space_group_name_Hall 'P 1'
_cell_length_a 3.981
_cell_length_b 3.981
_cell_length_c 8.382
_cell_angle_alpha 103.73
_cell_angle_beta 90.01
_cell_angle_gamma 120.00
loop_
_atom_site_label
_atom_site_type_symbol
_atom_site_fract_x
_atom_site_fract_y
_atom_site_fract_z
Ge1 Ge 0.735 0.587 0.322
Ca1 Ca 0.484 0.084 0.568
Ge2 Ge 0.025 0.166 0.190
H1 H 0.579 0.274 0.854
Ca2 Ca 0.276 0.668 0.945
H2 H 0.181 0.478 0.659


[6]
# CeBeAgH6, optimized geometry, DFT GGA-PBE
# Crystal system   hexagonal
# Density of states at the Fermi level   4.8 states/eV/cell
# VASP energy   -32.792 eV per formula unit
data_CeBeAgH6
_symmetry_space_group_name_H-M 'P 1'
_symmetry_Int_Tables_number 1
_symmetry_space_group_name_Hall 'P 1'
_cell_length_a 4.425
_cell_length_b 4.425
_cell_length_c 4.440
_cell_angle_alpha 90.00
_cell_angle_beta 90.00
_cell_angle_gamma 60.00
loop_
_atom_site_label
_atom_site_type_symbol
_atom_site_fract_x
_atom_site_fract_y
_atom_site_fract_z
H1 H 0.041 0.480 0.210
H2 H 0.480 0.480 0.210
Ce1 Ce 0.000 0.000 0.000
Be1 Be 0.333 0.333 0.500
H3 H 0.480 0.041 0.210
H4 H 0.041 0.480 0.790
H5 H 0.480 0.480 0.790
H6 H 0.480 0.041 0.790
Ag1 Ag 0.667 0.667 0.500


[7]
# Ca2ZnMoN4, optimized geometry, DFT GGA-PBE
# Crystal system   orthorhombic
# E_form (uncorrected)   -712 meV per atom
# Density of states at the Fermi level   0.0 states/eV/cell
# VASP energy   -55.105 eV per formula unit
data_Ca2ZnMoN4
_symmetry_space_group_name_H-M 'P 1'
_symmetry_Int_Tables_number 1
_symmetry_space_group_name_Hall 'P 1'
_cell_length_a 5.526
_cell_length_b 6.335
_cell_length_c 7.051
_cell_angle_alpha 90.00
_cell_angle_beta 90.00
_cell_angle_gamma 90.00
loop_
_atom_site_label
_atom_site_type_symbol
_atom_site_fract_x
_atom_site_fract_y
_atom_site_fract_z
Ca1 Ca 0.982 0.685 0.752
Ca2 Ca 0.482 0.315 0.748
Zn1 Zn 0.495 0.835 0.000
Mo1 Mo 0.000 0.162 0.000
Zn2 Zn 0.995 0.165 0.500
Ca3 Ca 0.482 0.315 0.252
Mo2 Mo 0.500 0.838 0.500
N1 N 0.833 0.876 0.500
N2 N 0.426 0.688 0.271
N3 N 0.926 0.312 0.229
N4 N 0.333 0.124 0.000
N5 N 0.857 0.897 0.000
Ca4 Ca 0.982 0.685 0.248
N6 N 0.357 0.103 0.500
N7 N 0.426 0.688 0.729
N8 N 0.926 0.312 0.771


[8]
# LaY2PtF, optimized geometry, DFT GGA-PBE
# Crystal system   tetragonal
# E_form (uncorrected)   -142 meV per atom
# Density of states at the Fermi level   5.6 states/eV/cell
# VASP energy   -26.478 eV per formula unit
data_LaY2PtF
_symmetry_space_group_name_H-M 'P 1'
_symmetry_Int_Tables_number 1
_symmetry_space_group_name_Hall 'P 1'
_cell_length_a 5.891
_cell_length_b 4.308
_cell_length_c 5.891
_cell_angle_alpha 90.00
_cell_angle_beta 90.00
_cell_angle_gamma 90.00
loop_
_atom_site_label
_atom_site_type_symbol
_atom_site_fract_x
_atom_site_fract_y
_atom_site_fract_z
La1 La 0.000 0.000 0.000
Y1 Y 0.000 0.000 0.500
Y2 Y 0.500 0.000 0.000
F1 F 0.000 0.500 0.000
Pt1 Pt 0.500 0.500 0.500


Question: Among the records above, which one has the highest density of states at the Fermi level?
Answer: LaY2PtF